# 1
Density functional theory data (PBE) for a relaxed DySi2Te6 crystal.

The structure belongs to space group C2/c (No. 15); the cell edges are 14.561, 12.307 and 7.532 Å and the angles 90.00°, 108.83° and 90.00°. The distinct sites, in fractional coordinates, are Dy at (0.000, 0.128, 0.250), Si at (0.208, 0.420, 0.245), Te at (0.108, 0.080, 0.669), Te at (0.126, 0.434, 0.498) and Te at (0.159, 0.229, 0.133).

As for the crystal system: monoclinic. As for the magnetic moment: 0.00 μB per cell. The value obtained for the total energy is -4.10 eV per atom.

---

# 2
Density functional theory data (PBE) for a relaxed NdDyOs4 crystal.

The structure belongs to space group F-43m (No. 216); the cell edges are 7.639, 7.639 and 7.639 Å and the angles 90.00°, 90.00° and 90.00°. The distinct sites, in fractional coordinates, are Nd at (0.000, 0.000, 0.000), Dy at (0.250, 0.250, 0.750) and Os at (0.125, 0.125, 0.375).

As for the crystal system: cubic. As for the magnetic moment: 0.00 μB per cell. For the formation energy from the elements, the calculation gives -0.17 eV/atom.

---

Q: Look up the magnetic moment of the first one.
A: 0.00 μB per cell